1.
PBE-GGA Ba3SbI3, optimized geometry; E_form (uncorrected) = -1.578 eV per atom
1.0
-7.129 7.129 7.129
7.129 -7.129 7.129
7.129 7.129 -7.129
Ba Sb I
12 4 12
Cartesian
1.880 1.782 -1.685
8.814 1.880 -1.782
1.782 -1.685 1.880
5.444 5.250 -1.782
5.250 1.782 1.685
-1.685 1.880 1.782
5.250 -1.782 5.444
1.782 1.685 5.250
1.685 5.250 1.782
1.880 -1.782 8.814
-1.782 8.814 1.880
-1.782 5.444 5.250
5.347 1.782 -1.782
1.782 1.782 1.782
1.782 -1.782 5.347
-1.782 5.347 1.782
5.378 5.347 -5.316
5.316 -1.752 1.782
5.347 -5.316 5.378
1.782 5.316 -1.752
8.912 1.813 1.752
5.347 5.316 1.752
-1.752 1.782 5.316
5.316 1.752 5.347
1.752 5.347 5.316
1.813 1.752 8.912
-5.316 5.378 5.347
1.752 8.912 1.813



2.
PBE-GGA La4TbSm7, optimized geometry; energy above the most stable polymorph in this dataset = 0.218 eV per atom; Fermi-level density of states = 20.92 states/eV/cell; ΔH_f (0 K) = 234.8 meV/atom
1.0
6.110 -3.048 0.000
6.110 3.048 0.000
-6.005 0.000 11.601
La Tb Sm
4 1 7
Cartesian
-1.316 0.000 3.863
3.082 0.000 2.573
3.134 0.000 9.028
7.532 0.000 7.737
6.110 0.000 0.000
0.000 0.000 0.000
-2.965 0.000 10.713
-0.993 0.000 7.986
1.463 0.000 5.759
4.753 0.000 5.841
7.208 0.000 3.614
9.181 0.000 0.888



3.
PBE-GGA AsPbSe2, optimized geometry; energy above the most stable polymorph in this dataset = 0.033 eV per atom; E_form (uncorrected) = -0.161 eV per atom; Fermi-level density of states = 1.45 states/eV/cell
1.0
4.363 0.000 0.000
0.000 5.787 0.000
0.000 0.000 4.527
As Pb Se
1 1 2
Cartesian
0.000 0.000 0.000
2.181 2.894 2.143
0.000 2.894 4.195
2.181 0.000 1.277



4.
PBE-GGA KFe2P, optimized geometry; Fermi-level density of states = 4.46 states/eV/cell; ΔH_f (0 K) = 439.3 meV/atom
1.0
2.905 0.000 0.000
0.000 2.905 0.000
0.000 0.000 8.088
K Fe P
1 2 1
Cartesian
0.000 0.000 0.000
1.453 1.453 2.875
1.453 1.453 5.213
0.000 0.000 4.044



Number 1: V 362.37 Å³/f.u.. Number 2: V 432.10 Å³/f.u.. Number 3: V 114.29 Å³/f.u.. Number 4: V 68.27 Å³/f.u..